# RbTl4Sn2 (PBE, optimized geometry)
data_RbTl4Sn2
_chemical_formula_sum 'Rb2 Tl8 Sn4'
_space_group_name_H-M_alt 'C 1 2/m 1'
_space_group_IT_number 12
_space_group_name_Hall '-C 2y'
_cell_length_a 10.598
_cell_length_b 8.264
_cell_length_c 6.321
_cell_angle_alpha 90.00
_cell_angle_beta 123.16
_cell_angle_gamma 90.00
loop_
_atom_site_label
_atom_site_type_symbol
_atom_site_fract_x
_atom_site_fract_y
_atom_site_fract_z
Rb1 Rb 0.000 0.000 0.000
Tl1 Tl 0.190 0.196 0.684
Sn1 Sn 0.023 0.500 0.777
# Energy relative to the lowest polymorph listed for this composition in eV per atom: 0.0337

***

# RbTl2Sn (PBE, optimized geometry)
data_RbTl2Sn
_chemical_formula_sum 'Rb1 Tl2 Sn1'
_space_group_name_H-M_alt 'P 4/m m m'
_space_group_IT_number 123
_space_group_name_Hall '-P 4 2'
_cell_length_a 4.034
_cell_length_b 4.034
_cell_length_c 8.519
_cell_angle_alpha 90.00
_cell_angle_beta 90.00
_cell_angle_gamma 90.00
loop_
_atom_site_label
_atom_site_type_symbol
_atom_site_fract_x
_atom_site_fract_y
_atom_site_fract_z
Rb1 Rb 0.000 0.000 0.000
Tl1 Tl 0.500 0.500 0.301
Sn1 Sn 0.000 0.000 0.500
# Energy relative to the lowest polymorph listed for this composition in eV per atom: 0.0104

***

First-principles (PBE) data for crystalline RbTl2Sn9 at its relaxed geometry, as listed in Alexandria via LeMat-Bulk.

CIF file:
```
data_RbTl2Sn9
_chemical_formula_sum 'Rb3 Tl6 Sn27'
_space_group_name_H-M_alt 'R -3 m'
_space_group_IT_number 166
_space_group_name_Hall '-R 3 2"'
_cell_length_a 6.5874
_cell_length_b 6.5874
_cell_length_c 30.3752
_cell_angle_alpha 90.00
_cell_angle_beta 90.00
_cell_angle_gamma 120.00
loop_
_atom_site_label
_atom_site_type_symbol
_atom_site_fract_x
_atom_site_fract_y
_atom_site_fract_z
Rb1 Rb 0.0000 0.0000 0.0000
Tl1 Tl 0.0000 0.0000 0.1438
Sn1 Sn 0.0000 0.0000 0.3406
Sn2 Sn 0.0000 0.0000 0.5000
Sn3 Sn 0.0153 0.5077 0.9137
```

***

# Rb2TlSn2 (PBE, optimized geometry)
data_Rb2TlSn2
_chemical_formula_sum 'Rb8 Tl4 Sn8'
_space_group_name_H-M_alt 'C 1 2/c 1'
_space_group_IT_number 15
_space_group_name_Hall '-C 2yc'
_cell_length_a 11.993
_cell_length_b 7.529
_cell_length_c 9.586
_cell_angle_alpha 90.00
_cell_angle_beta 102.31
_cell_angle_gamma 90.00
loop_
_atom_site_label
_atom_site_type_symbol
_atom_site_fract_x
_atom_site_fract_y
_atom_site_fract_z
Rb1 Rb 0.147 0.148 0.133
Tl1 Tl 0.000 0.418 0.750
Sn1 Sn 0.146 0.339 0.502
# Energy relative to the lowest polymorph listed for this composition in eV per atom: 0.0433

***

# RbTl3Sn2 (PBE, optimized geometry)
data_RbTl3Sn2
_chemical_formula_sum 'Rb4 Tl12 Sn8'
_space_group_name_H-M_alt 'C m c m'
_space_group_IT_number 63
_space_group_name_Hall '-C 2c 2'
_cell_length_a 12.154
_cell_length_b 10.721
_cell_length_c 6.645
_cell_angle_alpha 90.00
_cell_angle_beta 90.00
_cell_angle_gamma 90.00
loop_
_atom_site_label
_atom_site_type_symbol
_atom_site_fract_x
_atom_site_fract_y
_atom_site_fract_z
Rb1 Rb 0.000 0.177 0.250
Tl1 Tl 0.000 0.461 0.750
Tl2 Tl 0.171 0.229 0.750
Sn1 Sn 0.229 0.500 0.000
# Energy relative to the lowest polymorph listed for this composition in eV per atom: 0.0388

***

First-principles (PBE) data for crystalline RbTlSn at its relaxed geometry, as listed in Alexandria via LeMat-Bulk.

CIF file:
```
data_RbTlSn
_chemical_formula_sum 'Rb4 Tl4 Sn4'
_space_group_name_H-M_alt 'C 1 2/c 1'
_space_group_IT_number 15
_space_group_name_Hall '-C 2yc'
_cell_length_a 9.551
_cell_length_b 9.261
_cell_length_c 6.678
_cell_angle_alpha 90.00
_cell_angle_beta 134.09
_cell_angle_gamma 90.00
loop_
_atom_site_label
_atom_site_type_symbol
_atom_site_fract_x
_atom_site_fract_y
_atom_site_fract_z
Rb1 Rb 0.000 0.127 0.250
Tl1 Tl 0.250 0.250 0.000
Sn1 Sn 0.000 0.500 0.000
```

***

# RbTl4Sn (PBE, optimized geometry)
data_RbTl4Sn
_chemical_formula_sum 'Rb2 Tl8 Sn2'
_space_group_name_H-M_alt 'P m m a'
_space_group_IT_number 51
_space_group_name_Hall '-P 2a 2a'
_cell_length_a 9.804
_cell_length_b 4.813
_cell_length_c 9.036
_cell_angle_alpha 90.00
_cell_angle_beta 90.00
_cell_angle_gamma 90.00
loop_
_atom_site_label
_atom_site_type_symbol
_atom_site_fract_x
_atom_site_fract_y
_atom_site_fract_z
Rb1 Rb 0.250 0.000 0.130
Tl1 Tl 0.000 0.000 0.500
Tl2 Tl 0.052 0.500 0.805
Tl3 Tl 0.250 0.500 0.454
Sn1 Sn 0.250 0.000 0.724
# Energy relative to the lowest polymorph listed for this composition in eV per atom: 0.0000

***

# RbTl2Sn2 (PBE, optimized geometry)
data_RbTl2Sn2
_chemical_formula_sum 'Rb2 Tl4 Sn4'
_space_group_name_H-M_alt 'I 4/m m m'
_space_group_IT_number 139
_space_group_name_Hall '-I 4 2'
_cell_length_a 4.518
_cell_length_b 4.518
_cell_length_c 17.801
_cell_angle_alpha 90.00
_cell_angle_beta 90.00
_cell_angle_gamma 90.00
loop_
_atom_site_label
_atom_site_type_symbol
_atom_site_fract_x
_atom_site_fract_y
_atom_site_fract_z
Rb1 Rb 0.000 0.000 0.000
Tl1 Tl 0.000 0.000 0.380
Sn1 Sn 0.000 0.500 0.250
# Energy relative to the lowest polymorph listed for this composition in eV per atom: 0.0168

***

# RbTl4Sn2 (PBE, optimized geometry)
data_RbTl4Sn2
_chemical_formula_sum 'Rb2 Tl8 Sn4'
_space_group_name_H-M_alt 'C m m m'
_space_group_IT_number 65
_space_group_name_Hall '-C 2 2'
_cell_length_a 5.611
_cell_length_b 16.788
_cell_length_c 5.183
_cell_angle_alpha 90.00
_cell_angle_beta 90.00
_cell_angle_gamma 90.00
loop_
_atom_site_label
_atom_site_type_symbol
_atom_site_fract_x
_atom_site_fract_y
_atom_site_fract_z
Rb1 Rb 0.000 0.000 0.000
Tl1 Tl 0.000 0.182 0.500
Tl2 Tl 0.000 0.308 0.000
Sn1 Sn 0.000 0.412 0.500
# Energy relative to the lowest polymorph listed for this composition in eV per atom: 0.0000

***

First-principles (PBE) data for crystalline RbTlSn at its relaxed geometry, as listed in Alexandria via LeMat-Bulk.

CIF file:
```
data_RbTlSn
_chemical_formula_sum 'Rb2 Tl2 Sn2'
_space_group_name_H-M_alt 'P 1'
_space_group_IT_number 1
_space_group_name_Hall 'P 1'
_cell_length_a 4.624
_cell_length_b 7.521
_cell_length_c 7.577
_cell_angle_alpha 73.33
_cell_angle_beta 72.36
_cell_angle_gamma 72.12
loop_
_atom_site_label
_atom_site_type_symbol
_atom_site_fract_x
_atom_site_fract_y
_atom_site_fract_z
Rb1 Rb 0.000 0.000 0.000
Rb2 Rb 0.140 0.429 0.290
Tl1 Tl 0.387 0.775 0.451
Tl2 Tl 0.700 0.056 0.543
Sn1 Sn 0.419 0.398 0.762
Sn2 Sn 0.768 0.643 0.818
```

***

# RbTl2Sn (PBE, optimized geometry)
data_RbTl2Sn
_chemical_formula_sum 'Rb2 Tl4 Sn2'
_space_group_name_H-M_alt 'P 1 21/m 1'
_space_group_IT_number 11
_space_group_name_Hall '-P 2yb'
_cell_length_a 6.973
_cell_length_b 5.329
_cell_length_c 8.552
_cell_angle_alpha 90.00
_cell_angle_beta 113.83
_cell_angle_gamma 90.00
loop_
_atom_site_label
_atom_site_type_symbol
_atom_site_fract_x
_atom_site_fract_y
_atom_site_fract_z
Rb1 Rb 0.208 0.250 0.410
Tl1 Tl 0.148 0.250 0.888
Tl2 Tl 0.388 0.750 0.775
Sn1 Sn 0.318 0.750 0.124
# Energy relative to the lowest polymorph listed for this composition in eV per atom: 0.0000

***

First-principles (PBE) data for crystalline RbTlSn at its relaxed geometry, as listed in Alexandria via LeMat-Bulk.

CIF file:
```
data_RbTlSn
_chemical_formula_sum 'Rb4 Tl4 Sn4'
_space_group_name_H-M_alt 'I m m m'
_space_group_IT_number 71
_space_group_name_Hall '-I 2 2'
_cell_length_a 4.511
_cell_length_b 7.809
_cell_length_c 13.928
_cell_angle_alpha 90.00
_cell_angle_beta 90.00
_cell_angle_gamma 90.00
loop_
_atom_site_label
_atom_site_type_symbol
_atom_site_fract_x
_atom_site_fract_y
_atom_site_fract_z
Rb1 Rb 0.000 0.000 0.157
Tl1 Tl 0.000 0.500 0.125
Sn1 Sn 0.000 0.190 0.500
```

***

First-principles (PBE) data for crystalline Rb3Tl9Sn2 at its relaxed geometry, as listed in Alexandria via LeMat-Bulk.

CIF file:
```
data_Rb3Tl9Sn2
_chemical_formula_sum 'Rb6 Tl18 Sn4'
_space_group_name_H-M_alt 'I m m m'
_space_group_IT_number 71
_space_group_name_Hall '-I 2 2'
_cell_length_a 5.229
_cell_length_b 12.530
_cell_length_c 15.208
_cell_angle_alpha 90.00
_cell_angle_beta 90.00
_cell_angle_gamma 90.00
loop_
_atom_site_label
_atom_site_type_symbol
_atom_site_fract_x
_atom_site_fract_y
_atom_site_fract_z
Rb1 Rb 0.000 0.000 0.000
Rb2 Rb 0.000 0.000 0.310
Tl1 Tl 0.000 0.278 0.134
Tl2 Tl 0.000 0.368 0.336
Tl3 Tl 0.000 0.500 0.000
Sn1 Sn 0.000 0.204 0.500
```

***

First-principles (PBE) data for crystalline RbTlSn at its relaxed geometry, as listed in Alexandria via LeMat-Bulk.

CIF file:
```
data_RbTlSn
_chemical_formula_sum 'Rb4 Tl4 Sn4'
_space_group_name_H-M_alt 'C 1 2/m 1'
_space_group_IT_number 12
_space_group_name_Hall '-C 2y'
_cell_length_a 12.527
_cell_length_b 5.447
_cell_length_c 8.836
_cell_angle_alpha 90.00
_cell_angle_beta 133.63
_cell_angle_gamma 90.00
loop_
_atom_site_label
_atom_site_type_symbol
_atom_site_fract_x
_atom_site_fract_y
_atom_site_fract_z
Rb1 Rb 0.247 0.000 0.176
Tl1 Tl 0.085 0.500 0.249
Sn1 Sn 0.071 0.000 0.419
```

***

First-principles (PBE) data for crystalline RbTlSn at its relaxed geometry, as listed in Alexandria via LeMat-Bulk.

CIF file:
```
data_RbTlSn
_chemical_formula_sum 'Rb2 Tl2 Sn2'
_space_group_name_H-M_alt 'P 63 m c'
_space_group_IT_number 186
_space_group_name_Hall 'P 6c -2c'
_cell_length_a 5.3882
_cell_length_b 5.3882
_cell_length_c 8.4357
_cell_angle_alpha 90.00
_cell_angle_beta 90.00
_cell_angle_gamma 120.00
loop_
_atom_site_label
_atom_site_type_symbol
_atom_site_fract_x
_atom_site_fract_y
_atom_site_fract_z
Rb1 Rb 0.0000 0.0000 0.0000
Tl1 Tl 0.3333 0.6667 0.1977
Sn1 Sn 0.3333 0.6667 0.7952
```

***

First-principles (PBE) data for crystalline Rb2TlSn6 at its relaxed geometry, as listed in Alexandria via LeMat-Bulk.

CIF file:
```
data_Rb2TlSn6
_chemical_formula_sum 'Rb2 Tl1 Sn6'
_space_group_name_H-M_alt 'P -3 m 1'
_space_group_IT_number 164
_space_group_name_Hall '-P 3 2"'
_cell_length_a 7.0151
_cell_length_b 7.0151
_cell_length_c 7.1199
_cell_angle_alpha 90.00
_cell_angle_beta 90.00
_cell_angle_gamma 120.00
loop_
_atom_site_label
_atom_site_type_symbol
_atom_site_fract_x
_atom_site_fract_y
_atom_site_fract_z
Rb1 Rb 0.3333 0.6667 0.1308
Tl1 Tl 0.0000 0.0000 0.0000
Sn1 Sn 0.1808 0.3615 0.6448
```

***

First-principles (PBE) data for crystalline Rb2Tl12Sn at its relaxed geometry, as listed in Alexandria via LeMat-Bulk.

CIF file:
```
data_Rb2Tl12Sn
_chemical_formula_sum 'Rb4 Tl24 Sn2'
_space_group_name_H-M_alt 'P 4/n b m'
_space_group_IT_number 125
_cell_length_a 7.177
_cell_length_b 7.177
_cell_length_c 20.855
_cell_angle_alpha 90.00
_cell_angle_beta 90.00
_cell_angle_gamma 90.00
loop_
_space_group_symop_operation_xyz
'x,y,z'
'-x,-y,-z'
'-y+1/2,x,z'
'y+1/2,-x,-z'
'-x+1/2,-y+1/2,z'
'x+1/2,y+1/2,-z'
'y,-x+1/2,z'
'-y,x+1/2,-z'
'x,-y+1/2,-z'
'-x,y+1/2,z'
'-y+1/2,-x+1/2,-z'
'y+1/2,x+1/2,z'
'-x+1/2,y,-z'
'x+1/2,-y,z'
'y,x,-z'
'-y,-x,z'
loop_
_atom_site_label
_atom_site_type_symbol
_atom_site_fract_x
_atom_site_fract_y
_atom_site_fract_z
Rb1 Rb 0.250 0.750 0.243
Tl1 Tl 0.000 0.000 0.408
Tl2 Tl 0.085 0.585 0.064
Tl3 Tl 0.250 0.250 0.156
Tl4 Tl 0.250 0.250 0.312
Sn1 Sn 0.250 0.750 0.500
```

***

# RbTl3Sn3 (PBE, optimized geometry)
data_RbTl3Sn3
_chemical_formula_sum 'Rb2 Tl6 Sn6'
_space_group_name_H-M_alt 'P m -3 n'
_space_group_IT_number 223
_space_group_name_Hall '-P 4n 2 3'
_cell_length_a 8.336
_cell_length_b 8.336
_cell_length_c 8.336
_cell_angle_alpha 90.00
_cell_angle_beta 90.00
_cell_angle_gamma 90.00
loop_
_atom_site_label
_atom_site_type_symbol
_atom_site_fract_x
_atom_site_fract_y
_atom_site_fract_z
Rb1 Rb 0.000 0.000 0.000
Tl1 Tl 0.000 0.250 0.500
Sn1 Sn 0.000 0.500 0.250
# Energy relative to the lowest polymorph listed for this composition in eV per atom: 0.1408

***

First-principles (PBE) data for crystalline RbTlSn at its relaxed geometry, as listed in Alexandria via LeMat-Bulk.

CIF file:
```
data_RbTlSn
_chemical_formula_sum 'Rb4 Tl4 Sn4'
_space_group_name_H-M_alt 'A m m 2'
_space_group_IT_number 38
_space_group_name_Hall 'A 2 -2'
_cell_length_a 4.382
_cell_length_b 15.952
_cell_length_c 7.227
_cell_angle_alpha 90.00
_cell_angle_beta 90.00
_cell_angle_gamma 90.00
loop_
_atom_site_label
_atom_site_type_symbol
_atom_site_fract_x
_atom_site_fract_y
_atom_site_fract_z
Rb1 Rb 0.000 0.147 0.000
Tl1 Tl 0.500 0.150 0.524
Sn1 Sn 0.000 0.000 0.553
Sn2 Sn 0.500 0.000 0.262
```

***

First-principles (PBE) data for crystalline RbTlSn at its relaxed geometry, as listed in Alexandria via LeMat-Bulk.

CIF file:
```
data_RbTlSn
_chemical_formula_sum 'Rb1 Tl1 Sn1'
_space_group_name_H-M_alt 'P 3 m 1'
_space_group_IT_number 156
_space_group_name_Hall 'P 3 -2"'
_cell_length_a 4.9979
_cell_length_b 4.9979
_cell_length_c 5.8759
_cell_angle_alpha 90.00
_cell_angle_beta 90.00
_cell_angle_gamma 120.00
loop_
_atom_site_label
_atom_site_type_symbol
_atom_site_fract_x
_atom_site_fract_y
_atom_site_fract_z
Rb1 Rb 0.0000 0.0000 0.0000
Tl1 Tl 0.6667 0.3333 0.5426
Sn1 Sn 0.3333 0.6667 0.4645
```

***

# Rb2Tl2Sn (PBE, optimized geometry)
data_Rb2Tl2Sn
_chemical_formula_sum 'Rb4 Tl4 Sn2'
_space_group_name_H-M_alt 'I 4/m m m'
_space_group_IT_number 139
_space_group_name_Hall '-I 4 2'
_cell_length_a 4.962
_cell_length_b 4.962
_cell_length_c 16.238
_cell_angle_alpha 90.00
_cell_angle_beta 90.00
_cell_angle_gamma 90.00
loop_
_atom_site_label
_atom_site_type_symbol
_atom_site_fract_x
_atom_site_fract_y
_atom_site_fract_z
Rb1 Rb 0.000 0.500 0.250
Tl1 Tl 0.000 0.000 0.089
Sn1 Sn 0.000 0.000 0.500
# Energy relative to the lowest polymorph listed for this composition in eV per atom: 0.3675

***

# RbTlSn3 (PBE, optimized geometry)
data_RbTlSn3
_chemical_formula_sum 'Rb4 Tl4 Sn12'
_space_group_name_H-M_alt 'P 1 21/c 1'
_space_group_IT_number 14
_space_group_name_Hall '-P 2ybc'
_cell_length_a 9.117
_cell_length_b 9.876
_cell_length_c 9.823
_cell_angle_alpha 90.00
_cell_angle_beta 120.06
_cell_angle_gamma 90.00
loop_
_atom_site_label
_atom_site_type_symbol
_atom_site_fract_x
_atom_site_fract_y
_atom_site_fract_z
Rb1 Rb 0.117 0.137 0.204
Tl1 Tl 0.440 0.195 0.621
Sn1 Sn 0.182 0.512 0.103
Sn2 Sn 0.318 0.014 0.949
Sn3 Sn 0.362 0.726 0.045
# Energy relative to the lowest polymorph listed for this composition in eV per atom: 0.0000

***

First-principles (PBE) data for crystalline Rb5Tl6Sn at its relaxed geometry, as listed in Alexandria via LeMat-Bulk.

CIF file:
```
data_Rb5Tl6Sn
_chemical_formula_sum 'Rb10 Tl12 Sn2'
_space_group_name_H-M_alt 'C 1 2/m 1'
_space_group_IT_number 12
_space_group_name_Hall '-C 2y'
_cell_length_a 7.634
_cell_length_b 16.875
_cell_length_c 9.198
_cell_angle_alpha 90.00
_cell_angle_beta 109.58
_cell_angle_gamma 90.00
loop_
_atom_site_label
_atom_site_type_symbol
_atom_site_fract_x
_atom_site_fract_y
_atom_site_fract_z
Rb1 Rb 0.000 0.000 0.000
Rb2 Rb 0.000 0.295 0.000
Rb3 Rb 0.000 0.363 0.500
Tl1 Tl 0.068 0.152 0.686
Tl2 Tl 0.135 0.500 0.198
Sn1 Sn 0.000 0.000 0.500
```

***

| no. | E_form (eV/atom) |
| --- | --- |
| 1 | -0.02 |
| 2 | -0.09 |
| 3 | -0.01 |
| 4 | -0.11 |
| 5 | -0.02 |
| 6 | -0.09 |
| 7 | -0.05 |
| 8 | -0.10 |
| 9 | -0.05 |
| 10 | -0.14 |
| 11 | -0.10 |
| 12 | -0.16 |
| 13 | -0.06 |
| 14 | -0.17 |
| 15 | -0.07 |
| 16 | -0.13 |
| 17 | 0.01 |
| 18 | 0.10 |
| 19 | -0.13 |
| 20 | -0.11 |
| 21 | 0.24 |
| 22 | -0.07 |
| 23 | -0.08 |